Computed, not measured: a relaxed structure of NdSm3Ag4 at the GGA-PBE level of DFT.

Computed properties:
Its size of the total moment is 0.00 μB per formula unit. The value obtained for the energy of formation is -271 meV/atom.

Lattice parameters (Å, degrees): 3.687 5.291 10.584 90.00 90.00 90.00
Space group Pmmm (No. 47)
Symmetry-distinct sites (fractional):
Nd  0.000  0.000  0.000 (multiplicity 1)
Sm  0.000  0.000  0.500 (multiplicity 1)
Sm  0.000  0.500  0.251 (multiplicity 2)
Ag  0.500  0.000  0.253 (multiplicity 2)
Ag  0.500  0.500  0.000 (multiplicity 1)
Ag  0.500  0.500  0.500 (multiplicity 1)